(1)
Eu2AgCl (PBE, relaxed); ΔE to the lowest computed polymorph = 0.0 kJ per mole of atoms; space group = R-3m, No. 166; E_form (uncorrected) = -925 meV per atom
1.0
4.2395 0.0000 0.0000
2.1198 3.6715 0.0000
2.1198 1.2238 7.8283
Eu Cl Ag
2 1 1
Cartesian
6.3593 3.6715 5.8446
2.1198 1.2238 1.9837
0.0000 0.0000 0.0000
4.2395 2.4477 3.9141

***

(2)
Eu2AgCl (PBE, relaxed); ΔE to the lowest computed polymorph = 5.9 kJ per mole of atoms; space group = P4/mmm, No. 123; E_form (uncorrected) = -864 meV per atom
1.0
-2.5989 -2.4911 0.8466
1.8482 -2.5755 -1.9047
4.1472 -2.0274 6.7657
Cl Eu Ag
1 2 1
Cartesian
1.6983 -3.5470 2.8538
0.9828 -0.4805 1.6034
3.1644 -1.5470 5.1624
-0.3753 -2.5333 -0.5291

***

(3)
EuAgCl2 (PBE, relaxed); space group = R-3m, No. 166; E_form (uncorrected) = -1267 meV per atom
1.0
-2.8606 -2.6559 1.2925
0.9141 -2.7461 2.9208
-3.5044 4.6708 8.3824
Cl Eu Ag
2 1 1
Cartesian
-2.5246 2.4502 5.9881
-2.9264 -3.1815 6.6077
-2.7255 -0.3656 6.2979
0.0000 0.0000 0.0000

***

(4)
Eu3Ag5Cl12 (PBE, relaxed); space group = Ia-3d, No. 230; E_form (uncorrected) = -1331 meV per atom
1.0
-6.5938 3.8464 11.8280
11.8536 -6.8612 3.2544
3.1327 11.4527 -7.5628
Cl Eu Ag
48 12 20
Cartesian
0.0305 7.8281 4.2393
11.3032 3.7905 1.5685
1.3877 4.1019 7.8932
4.9211 2.6091 5.8704
2.9289 4.3119 -1.8542
8.3619 0.6098 3.2802
-2.9107 4.6474 5.9511
5.5558 -2.5631 12.3842
-3.0179 10.1578 6.2603
0.6920 7.3674 0.8586
5.6132 7.7096 -1.6189
5.6138 8.8425 2.4950
7.7004 1.0705 6.6610
-2.2508 12.8450 4.5549
9.4015 1.8233 -0.2290
1.6119 3.3966 3.2942
2.7787 -0.4047 5.0246
6.7805 5.0413 4.2253
11.4396 6.0244 -1.0906
11.4103 -1.7200 1.2593
2.8366 11.0010 -4.8647
-1.1580 5.0000 2.6057
-1.0482 4.3242 10.3623
1.5782 11.1828 3.3796
-0.5653 2.0945 6.1981
4.2558 -1.3367 2.2557
5.4635 4.1260 9.3737
3.4714 5.8288 1.6492
4.1366 9.7746 5.2638
-3.0472 2.4135 8.6101
2.1763 8.3222 -3.1025
6.2161 0.1157 10.6220
8.9578 6.3434 1.3215
2.1713 1.6896 -0.0467
7.0048 4.3360 -0.3737
2.7793 0.7283 9.1384
5.2763 -1.9179 6.9090
6.2211 6.7482 7.5662
2.7491 6.1845 5.0301
9.4406 4.1137 -2.8428
7.1972 6.7859 -4.3309
9.5504 3.4379 4.9138
6.8143 -2.7449 4.1399
3.1161 10.3558 0.6105
5.6434 2.2533 2.4894
1.1953 1.6520 11.8504
10.6432 -4.4071 2.9646
-1.0091 6.6146 7.7486
2.6735 8.4206 2.9408
8.3754 3.4544 2.1495
-3.5047 5.3711 8.8656
1.0080 4.3987 0.5277
7.3844 4.0392 6.9918
8.5011 6.6945 -1.6265
11.8972 3.0668 -1.3460
-0.1087 1.7434 9.1460
4.8802 8.7866 -4.3254
0.0170 4.9834 5.3700
5.7190 0.0173 4.5788
3.5122 -0.3487 11.8449
3.9884 7.6669 6.7114
-1.7306 7.6495 2.1326
4.4040 0.7710 0.8082
0.0000 0.0000 0.0000
3.6379 2.8913 8.0689
9.2407 -0.3703 1.0832
7.4931 2.2958 -2.1542
5.9268 -3.4306 1.6272
0.8823 1.1587 4.3037
9.1150 -3.6104 4.8592
4.7546 5.5466 -0.5494
1.3585 9.1743 -0.8298
4.1962 4.2189 3.7598
2.6299 -1.5074 7.5412
1.5663 5.7264 -3.7814
-0.8483 8.8082 6.4363
-0.7226 12.0482 2.6603
7.5101 7.2792 3.2158
7.0339 -0.7364 8.3494
-3.2969 1.9232 5.9140